The following is a GGA-PBE calculation of a geometry-optimized YScBeAu structure, from the Alexandria database.

The energy of formation comes out at -335 meV/atom. The value obtained for the magnetization is 0.00 μB per formula unit.

It has space group F-43m (No. 216), with a = 6.868 Å, b = 6.868 Å, c = 6.868 Å, α = 90.00°, β = 90.00° and γ = 90.00°. The inequivalent atoms are Y at (0.000, 0.000, 0.000), Sc at (0.000, 0.000, 0.500), Be at (0.250, 0.250, 0.750) and Au at (0.250, 0.250, 0.250).

The following is a GGA-PBE calculation of a geometry-optimized ScBeZnAu2 structure, from the Alexandria database.

The energy of formation comes out at 189 meV/atom. The value obtained for the magnetization is 0.00 μB per formula unit.

It has space group P4/mmm (No. 123), with a = 4.800 Å, b = 4.800 Å, c = 4.167 Å, α = 90.00°, β = 90.00° and γ = 90.00°. The inequivalent atoms are Sc at (0.000, 0.000, 0.000), Be at (0.500, 0.500, 0.000), Zn at (0.500, 0.500, 0.500) and Au at (0.000, 0.500, 0.500).

The following is a GGA-PBE calculation of a geometry-optimized Be4AuSe structure, from the Alexandria database.

The value obtained for the formation energy from raw total energies is 345 meV/atom. The value obtained for the magnetization is 0.00 μB per formula unit.

It has space group F-43m (No. 216), with a = 6.620 Å, b = 6.620 Å, c = 6.620 Å, α = 90.00°, β = 90.00° and γ = 90.00°. The inequivalent atoms are Be at (0.125, 0.125, 0.125), Au at (0.250, 0.250, 0.750) and Se at (0.000, 0.000, 0.500).

The following is a GGA-PBE calculation of a geometry-optimized Be3AuSe structure, from the Alexandria database.

The value obtained for the polymorph energy (0 for the lowest one) is 248 meV/atom. The value obtained for the formation energy from raw total energies is 830 meV/atom. The value obtained for the magnetization is 0.00 μB per formula unit.

It has space group Pm-3m (No. 221), with a = 4.259 Å, b = 4.259 Å, c = 4.259 Å, α = 90.00°, β = 90.00° and γ = 90.00°. The inequivalent atoms are Be at (0.000, 0.000, 0.500), Au at (0.500, 0.500, 0.500) and Se at (0.000, 0.000, 0.000).

The following is a GGA-PBE calculation of a geometry-optimized BeAuSe2 structure, from the Alexandria database.

The value obtained for the polymorph energy (0 for the lowest one) is 806 meV/atom. The value obtained for the formation energy from raw total energies is 535 meV/atom. The value obtained for the magnetization is 0.00 μB per formula unit.

It has space group P4/mmm (No. 123), with a = 5.150 Å, b = 5.150 Å, c = 2.794 Å, α = 90.00°, β = 90.00° and γ = 90.00°. The inequivalent atoms are Be at (0.000, 0.000, 0.000), Au at (0.500, 0.500, 0.000) and Se at (0.000, 0.500, 0.500).

The following is a GGA-PBE calculation of a geometry-optimized BeAuSe3 structure, from the Alexandria database.

The value obtained for the polymorph energy (0 for the lowest one) is 572 meV/atom. The value obtained for the formation energy from raw total energies is 1051 meV/atom. The value obtained for the magnetization is 0.00 μB per formula unit.

It has space group Pm-3m (No. 221), with a = 5.073 Å, b = 5.073 Å, c = 5.073 Å, α = 90.00°, β = 90.00° and γ = 90.00°. The inequivalent atoms are Be at (0.000, 0.000, 0.000), Au at (0.500, 0.500, 0.500) and Se at (0.000, 0.500, 0.500).

The following is a GGA-PBE calculation of a geometry-optimized BeAuSe2 structure, from the Alexandria database.

The value obtained for the polymorph energy (0 for the lowest one) is 898 meV/atom. The value obtained for the formation energy from raw total energies is 628 meV/atom. The value obtained for the magnetization is 0.00 μB per formula unit.

It has space group F-43m (No. 216), with a = 6.587 Å, b = 6.587 Å, c = 6.587 Å, α = 90.00°, β = 90.00° and γ = 90.00°. The inequivalent atoms are Be at (0.000, 0.000, 0.000), Au at (0.250, 0.250, 0.750), Se at (0.000, 0.000, 0.500) and Se at (0.250, 0.250, 0.250).

The following is a GGA-PBE calculation of a geometry-optimized BeAuSe2 structure, from the Alexandria database.

The value obtained for the polymorph energy (0 for the lowest one) is 771 meV/atom. The value obtained for the formation energy from raw total energies is 501 meV/atom. The value obtained for the magnetization is 0.00 μB per formula unit.

It has space group Cmmm (No. 65), with a = 5.199 Å, b = 7.589 Å, c = 3.836 Å, α = 90.00°, β = 90.00° and γ = 90.00°. The inequivalent atoms are Be at (0.000, 0.000, 0.000), Au at (0.000, 0.500, 0.000) and Se at (0.250, 0.250, 0.500).

Copy entry 7 word for word.
The following is a GGA-PBE calculation of a geometry-optimized BeAuSe2 structure, from the Alexandria database.

The value obtained for the polymorph energy (0 for the lowest one) is 898 meV/atom. The value obtained for the formation energy from raw total energies is 628 meV/atom. The value obtained for the magnetization is 0.00 μB per formula unit.

It has space group F-43m (No. 216), with a = 6.587 Å, b = 6.587 Å, c = 6.587 Å, α = 90.00°, β = 90.00° and γ = 90.00°. The inequivalent atoms are Be at (0.000, 0.000, 0.000), Au at (0.250, 0.250, 0.750), Se at (0.000, 0.000, 0.500) and Se at (0.250, 0.250, 0.250).